Computed, not measured: a relaxed Tb2PmNd12 crystal at the PBE-GGA level of DFT.

Output
Energy of formation (eV/atom): 0.152
Total magnetization (μB per formula unit): 0.00
Crystal system: orthorhombic

abc: 7.2236 11.6692 25.1100
angles: 90.00 90.00 90.00
Closest atoms and distances in Å follow each position.
Space group Cmme (No. 67)
One atom of each set of equivalent atoms:
Tb 0.0000 0.2500 0.2284 x4  2 Tb 3.61, 10 Nd 3.68-3.97
Tb 0.0000 0.2500 0.7672 x4  2 Tb 3.61, 10 Nd 3.73-3.88
Pm 0.0000 0.2500 0.4988 x4  8 Nd 3.46-3.78, 2 Pm 3.61
Nd 0.0000 0.0025 0.5748 x8  2 Pm 3.46-3.48, 9 Nd 3.61-3.76
Nd 0.0000 0.0241 0.0600 x8  5 Nd 3.07-3.41
Nd 0.2305 0.2500 0.9155 x8  7 Nd 3.33-3.70
Nd 0.2480 0.2500 0.3693 x8  8 Nd 3.39-3.72, 2 Pm 3.71-3.78
Nd 0.2500 0.0000 0.1749 x8  3 Nd 3.16-3.41
Nd 0.2500 0.0000 0.3006 x8  3 Nd 3.16-3.39

---

Computed, not measured: a relaxed Tb5PmNd2 crystal at the PBE-GGA level of DFT.

Output
Energy of formation (eV/atom): 0.164
Total magnetization (μB per formula unit): 0.00
Crystal system: monoclinic

abc: 16.4379 9.9911 6.5502
angles: 90.00 98.27 90.00
Closest atoms and distances in Å follow each position.
Space group C2/c (No. 15)
One atom of each set of equivalent atoms:
Tb 0.0000 0.0586 0.2500 x4  4 Nd 3.21-3.53, 2 Tb 3.48
Tb 0.0988 0.4117 0.1444 x8  3 Nd 3.37-3.53, 1 Pm 3.54, 5 Tb 3.67-3.74
Tb 0.1978 0.0894 0.0238 x8  1 Nd 3.49, 2 Pm 3.50-3.51, 7 Tb 3.67-3.78
Pm 0.2500 0.2500 0.5000 x4  2 Nd 3.03
Nd 0.0780 0.2531 0.6159 x8  1 Pm 3.03, 2 Tb 3.21-3.37, 1 Nd 3.31

---

Computed, not measured: a relaxed Tb6Pm5Nd2 crystal at the PBE-GGA level of DFT.

Output
Energy of formation (eV/atom): 0.093
Total magnetization (μB per formula unit): 0.00
Crystal system: orthorhombic

abc: 11.7962 20.6223 3.6215
angles: 90.00 90.00 90.00
Closest atoms and distances in Å follow each position.
Space group Pbam (No. 55)
One atom of each set of equivalent atoms:
Tb 0.0607 0.0775 0.0000 x4  6 Pm 3.50-3.63, 5 Tb 3.50-3.72
Tb 0.0771 0.3656 0.0000 x4  1 Nd 3.40, 6 Pm 3.43-3.61, 4 Tb 3.53-3.62
Tb 0.1797 0.6300 0.5000 x4  2 Pm 3.35-3.42, 6 Tb 3.53-3.72, 2 Nd 3.65
Pm 0.0000 0.5000 0.5000 x2  6 Tb 3.42-3.43, 4 Pm 3.62-3.70
Pm 0.0862 0.2219 0.5000 x4  5 Tb 3.35-3.50, 4 Nd 3.55-3.61, 2 Pm 3.62
Pm 0.2002 0.9475 0.5000 x4  7 Tb 3.61-4.02, 3 Pm 3.62-3.70, 2 Nd 3.85
Nd 0.1725 0.7836 0.0000 x4  3 Tb 3.40-3.65, 4 Pm 3.55-3.61, 2 Nd 3.62

---

Computed, not measured: a relaxed TbPmNd2 crystal at the PBE-GGA level of DFT.

Output
Energy of formation (eV/atom): 0.016
Total magnetization (μB per formula unit): 0.00
Crystal system: tetragonal

abc: 5.1537 5.1537 5.1434
angles: 90.00 90.00 90.00
Closest atoms and distances in Å follow each position.
Space group P4/mmm (No. 123)
One atom of each set of equivalent atoms:
Tb 0.0000 0.0000 0.0000 x1  8 Nd 3.64, 4 Pm 3.64
Pm 0.5000 0.5000 0.0000 x1  8 Nd 3.64, 4 Tb 3.64
Nd 0.0000 0.5000 0.5000 x2  4 Pm 3.64, 4 Tb 3.64, 4 Nd 3.64

---

Computed, not measured: a relaxed Tb6Pm2Nd crystal at the PBE-GGA level of DFT.

Output
Energy of formation (eV/atom): 0.102
Total magnetization (μB per formula unit): 0.00
Crystal system: monoclinic

abc: 16.7454 10.3905 3.5084
angles: 90.00 102.02 90.00
Closest atoms and distances in Å follow each position.
Space group C2/m (No. 12)
One atom of each set of equivalent atoms:
Tb 0.0000 0.1845 0.0000 x4  7 Tb 3.51-3.83, 4 Pm 3.66, 2 Nd 3.72
Tb 0.1776 0.3330 0.6788 x8  1 Nd 3.39, 7 Tb 3.41-3.73, 3 Pm 3.48-3.66
Pm 0.1578 0.0000 0.6568 x4  10 Tb 3.48-3.66, 2 Pm 3.51
Nd 0.0000 0.5000 0.5000 x2  8 Tb 3.39-3.72, 2 Nd 3.51

---

Computed, not measured: a relaxed Tb4PmNd4 crystal at the PBE-GGA level of DFT.

Output
Energy of formation (eV/atom): 0.016
Total magnetization (μB per formula unit): 0.00
Crystal system: tetragonal

abc: 10.8788 10.8788 5.1226
angles: 90.00 90.00 90.00
Closest atoms and distances in Å follow each position.
Space group I4/mmm (No. 139)
One atom of each set of equivalent atoms:
Tb 0.0000 0.3353 0.0000 x8  5 Tb 3.58-3.60, 6 Nd 3.62-3.63, 1 Pm 3.65
Pm 0.0000 0.0000 0.0000 x2  8 Nd 3.63, 4 Tb 3.65
Nd 0.1672 0.1672 0.5000 x8  4 Nd 3.61-3.64, 6 Tb 3.62-3.63, 2 Pm 3.63

---

Computed, not measured: a relaxed Tb2Pm4Nd3 crystal at the PBE-GGA level of DFT.

Output
Energy of formation (eV/atom): 0.066
Total magnetization (μB per formula unit): 0.00
Crystal system: trigonal

abc: 3.6421 3.6421 27.1082
angles: 90.00 90.00 120.00
Closest atoms and distances in Å follow each position.
Space group P3m1 (No. 156)
One atom of each set of equivalent atoms:
Tb 0.0000 0.0000 0.0000 x1  3 Pm 3.56, 6 Tb 3.64, 3 Nd 3.67
Tb 0.0000 0.0000 0.2159 x1  1 Pm 3.40, 3 Nd 3.54, 6 Tb 3.64
Pm 0.0000 0.0000 0.3414 x1  1 Tb 3.40, 3 Nd 3.59, 6 Pm 3.64
Pm 0.0000 0.0000 0.5620 x1  9 Pm 3.62-3.64, 3 Nd 3.73
Pm 0.3333 0.6667 0.6706 x1  9 Pm 3.62-3.64, 3 Nd 3.68
Pm 0.3333 0.6667 0.8940 x1  3 Tb 3.56, 6 Pm 3.64, 3 Nd 3.70
Nd 0.0000 0.0000 0.7819 x1  6 Nd 3.64, 6 Pm 3.68-3.70
Nd 0.3333 0.6667 0.1109 x1  6 Tb 3.54-3.67, 6 Nd 3.64
Nd 0.3333 0.6667 0.4486 x1  6 Pm 3.59-3.73, 6 Nd 3.64

---

Computed, not measured: a relaxed TbPm4Nd4 crystal at the PBE-GGA level of DFT.

Output
Energy of formation (eV/atom): 0.013
Total magnetization (μB per formula unit): 0.00
Crystal system: tetragonal

abc: 10.9645 10.9645 5.1660
angles: 90.00 90.00 90.00
Closest atoms and distances in Å follow each position.
Space group I4/mmm (No. 139)
One atom of each set of equivalent atoms:
Tb 0.0000 0.0000 0.0000 x2  8 Nd 3.65, 4 Pm 3.65
Pm 0.0000 0.3332 0.0000 x8  6 Nd 3.65-3.66, 1 Tb 3.65, 5 Pm 3.66
Nd 0.1661 0.1661 0.5000 x8  4 Nd 3.64-3.67, 2 Tb 3.65, 6 Pm 3.65-3.66

---

Computed, not measured: a relaxed Tb5PmNd6 crystal at the PBE-GGA level of DFT.

Output
Energy of formation (eV/atom): 0.014
Total magnetization (μB per formula unit): 0.00
Crystal system: orthorhombic

abc: 5.1397 10.2291 15.4097
angles: 90.00 90.00 90.00
Closest atoms and distances in Å follow each position.
Space group Immm (No. 71)
One atom of each set of equivalent atoms:
Tb 0.0000 0.0000 0.0000 x2  8 Nd 3.62, 4 Tb 3.63
Tb 0.0000 0.0000 0.3327 x4  8 Nd 3.61-3.64, 2 Tb 3.63, 2 Pm 3.64
Tb 0.0000 0.5000 0.3334 x4  8 Nd 3.62-3.63, 4 Tb 3.63
Pm 0.0000 0.5000 0.0000 x2  8 Nd 3.63, 4 Tb 3.64
Nd 0.0000 0.2493 0.1668 x8  7 Tb 3.61-3.63, 1 Pm 3.63, 4 Nd 3.63
Nd 0.0000 0.2511 0.5000 x4  6 Tb 3.62-3.64, 2 Pm 3.63, 4 Nd 3.63

---

Computed, not measured: a relaxed Tb3PmNd2 crystal at the PBE-GGA level of DFT.

Output
Energy of formation (eV/atom): 0.118
Total magnetization (μB per formula unit): 0.00
Crystal system: monoclinic

abc: 23.5035 3.5262 10.3981
angles: 90.00 108.55 90.00
Closest atoms and distances in Å follow each position.
Space group C2/m (No. 12)
One atom of each set of equivalent atoms:
Tb 0.0591 0.0000 0.4461 x4  8 Tb 3.31-3.69, 1 Nd 3.43
Tb 0.0688 0.5000 0.7636 x4  8 Tb 3.53-3.69, 2 Nd 3.66-3.91, 2 Pm 3.73
Tb 0.1948 0.0000 0.7154 x4  3 Pm 3.40-3.59, 5 Tb 3.51-3.62, 3 Nd 3.55-3.56
Pm 0.1875 0.0000 0.0365 x4  5 Tb 3.40-3.73, 3 Nd 3.45-3.75, 4 Pm 3.53-3.70
Nd 0.0675 0.5000 0.1385 x4  5 Nd 3.53-3.60, 4 Tb 3.66-3.91, 2 Pm 3.75
Nd 0.1911 0.0000 0.3712 x4  4 Tb 3.43-3.56, 1 Pm 3.45, 6 Nd 3.53-3.64

---

Computed, not measured: a relaxed TbPm3Nd2 crystal at the PBE-GGA level of DFT.

Output
Energy of formation (eV/atom): 0.145
Total magnetization (μB per formula unit): 0.00
Crystal system: monoclinic

abc: 18.2256 3.4919 6.6780
angles: 90.00 102.93 90.00
Closest atoms and distances in Å follow each position.
Space group C2/m (No. 12)
One atom of each set of equivalent atoms:
Tb 0.0000 0.0000 0.0000 x2  4 Pm 3.34-3.44, 2 Tb 3.49
Pm 0.0000 0.0000 0.5000 x2  2 Tb 3.34, 4 Pm 3.48-3.49
Pm 0.1706 0.0000 0.8590 x4  1 Tb 3.44, 5 Pm 3.48-3.54, 5 Nd 3.64-3.80
Nd 0.1613 0.5000 0.3493 x4  4 Nd 3.49-3.83, 7 Pm 3.64-3.80, 2 Tb 3.75

---

Computed, not measured: a relaxed Tb3Pm8Nd4 crystal at the PBE-GGA level of DFT.

Output
Energy of formation (eV/atom): 0.119
Total magnetization (μB per formula unit): 0.00
Crystal system: trigonal

abc: 7.0695 7.0695 36.1593
angles: 90.00 90.00 120.00
Closest atoms and distances in Å follow each position.
Space group R-3m (No. 166, hexagonal axes)
One atom of each set of equivalent atoms:
Tb 0.0000 0.5000 0.0000 x9  6 Pm 3.51-3.60, 4 Tb 3.53, 2 Nd 3.53
Pm 0.0000 0.0000 0.2543 x6  1 Nd 3.27, 3 Tb 3.51, 6 Pm 3.54
Pm 0.0017 0.5009 0.2511 x18  6 Pm 3.52-3.55, 3 Nd 3.59-3.67, 2 Tb 3.60
Nd 0.0000 0.0000 0.0000 x3  6 Tb 3.53, 6 Pm 3.61
Nd 0.0000 0.0000 0.1638 x6  4 Pm 3.27-3.59
Nd 0.0000 0.0000 0.5000 x3  6 Pm 3.67, 6 Nd 4.08

---

Computed, not measured: a relaxed Tb2Pm5Nd4 crystal at the PBE-GGA level of DFT.

Output
Energy of formation (eV/atom): 0.193
Total magnetization (μB per formula unit): 0.00
Crystal system: orthorhombic

abc: 3.5842 11.6359 18.5858
angles: 90.00 90.00 90.00
Closest atoms and distances in Å follow each position.
Space group Immm (No. 71)
One atom of each set of equivalent atoms:
Tb 0.0000 0.0000 0.2030 x4  6 Pm 3.42-3.73, 2 Tb 3.58
Pm 0.0000 0.2914 0.1792 x8  4 Pm 3.33-3.58, 3 Nd 3.35-3.45, 1 Tb 3.42
Pm 0.0000 0.5000 0.5000 x2  4 Nd 3.52, 2 Pm 3.58
Nd 0.0000 0.0000 0.4106 x4  7 Nd 3.32-3.71, 4 Pm 3.45
Nd 0.0000 0.2604 0.0000 x4  4 Pm 3.35-3.52, 6 Nd 3.58-3.71

---

Computed, not measured: a relaxed Tb5Pm2Nd crystal at the PBE-GGA level of DFT.

Output
Energy of formation (eV/atom): 0.165
Total magnetization (μB per formula unit): 0.00
Crystal system: monoclinic

abc: 16.4536 9.9862 6.5275
angles: 90.00 98.05 90.00
Closest atoms and distances in Å follow each position.
Space group C2/c (No. 15)
One atom of each set of equivalent atoms:
Tb 0.0000 0.0574 0.2500 x4  4 Pm 3.20-3.51, 2 Tb 3.46
Tb 0.0985 0.4113 0.1423 x8  4 Pm 3.37-3.76, 1 Nd 3.55, 5 Tb 3.67-3.73
Tb 0.1970 0.0900 0.0217 x8  1 Pm 3.48, 2 Nd 3.51, 7 Tb 3.67-3.77
Pm 0.0769 0.2529 0.6146 x8  1 Nd 3.04, 2 Tb 3.20-3.37, 1 Pm 3.28
Nd 0.2500 0.2500 0.5000 x4  2 Pm 3.04

---

Computed, not measured: a relaxed TbPm8Nd4 crystal at the PBE-GGA level of DFT.

Output
Energy of formation (eV/atom): 0.480
Total magnetization (μB per formula unit): 1.36
Crystal system: trigonal

abc: 11.2887 11.2887 13.5353
angles: 90.00 90.00 120.00
Closest atoms and distances in Å follow each position.
Space group R-3m (No. 166, hexagonal axes)
One atom of each set of equivalent atoms:
Tb 0.0000 0.0000 0.0000 x3  8 Pm 3.55-3.60, 6 Nd 3.96
Pm 0.0000 0.0000 0.2625 x6  4 Nd 3.21-3.51, 1 Tb 3.55
Pm 0.0120 0.5060 0.2421 x18  4 Nd 3.30-3.49, 1 Tb 3.60
Nd 0.0000 0.0000 0.5000 x3  8 Pm 3.21-3.30
Nd 0.0000 0.5000 0.5000 x9  8 Pm 3.47-3.51

---

Computed, not measured: a relaxed Tb3Pm6Nd crystal at the PBE-GGA level of DFT.

Output
Energy of formation (eV/atom): 0.123
Total magnetization (μB per formula unit): 0.00
Crystal system: orthorhombic

abc: 9.8019 21.4267 6.4914
angles: 90.00 90.00 90.00
Closest atoms and distances in Å follow each position.
Space group Cmc2_1 (No. 36)
One atom of each set of equivalent atoms:
Tb 0.0000 0.0807 0.0000 x4  3 Pm 3.18-3.48, 2 Tb 3.48
Tb 0.1682 0.3722 0.6127 x8  2 Tb 3.30-3.48, 5 Pm 3.34-3.66, 1 Nd 3.55
Pm 0.0000 0.1994 0.2939 x4  1 Tb 3.18, 1 Nd 3.36, 2 Pm 3.54
Pm 0.0000 0.4862 0.3015 x4  2 Pm 3.30, 1 Nd 3.36, 4 Tb 3.57-3.66
Pm 0.1742 0.2179 0.7676 x8  3 Tb 3.34-3.72, 3 Pm 3.41-3.66, 1 Nd 3.64
Pm 0.1791 0.0595 0.5206 x8  3 Tb 3.38-3.60, 4 Pm 3.51-3.77
Nd 0.0000 0.3432 0.0881 x4  4 Pm 3.36-3.64, 2 Tb 3.55

---

Computed, not measured: a relaxed Tb2Pm2Nd5 crystal at the PBE-GGA level of DFT.

Output
Energy of formation (eV/atom): 0.008
Total magnetization (μB per formula unit): 0.00
Crystal system: triclinic

abc: 3.6496 5.1539 16.7288
angles: 81.18 83.77 89.99
Closest atoms and distances in Å follow each position.
Space group P-1 (No. 2)
One atom of each set of equivalent atoms:
Tb 0.1128 0.1113 0.2773 x2  4 Pm 3.63, 6 Nd 3.63-3.66, 2 Tb 3.65
Pm 0.3323 0.3343 0.8316 x2  6 Nd 3.60-3.69, 4 Tb 3.63, 2 Pm 3.65
Nd 0.0000 0.0000 0.5000 x1  10 Nd 3.65-3.66, 2 Tb 3.66
Nd 0.2227 0.2216 0.0563 x2  1 Tb 3.63, 6 Nd 3.65-3.66, 5 Pm 3.65-3.69
Nd 0.4432 0.4437 0.6125 x2  1 Pm 3.60, 4 Tb 3.64, 7 Nd 3.65-3.70

---

Computed, not measured: a relaxed Tb2PmNd5 crystal at the PBE-GGA level of DFT.

Output
Energy of formation (eV/atom): 0.223
Total magnetization (μB per formula unit): 0.00
Crystal system: monoclinic

abc: 7.2344 10.1624 8.0537
angles: 90.00 103.19 90.00
Closest atoms and distances in Å follow each position.
Space group P2_1/m (No. 11)
One atom of each set of equivalent atoms:
Tb 0.0927 0.0912 0.3650 x4  2 Tb 3.23-3.36, 4 Nd 3.37-3.60, 1 Pm 3.53
Pm 0.0664 0.7500 0.2798 x2  4 Tb 3.53-3.69, 6 Nd 3.55-3.72
Nd 0.2468 0.5289 0.9989 x4  2 Tb 3.43-3.60, 5 Nd 3.44-3.71, 1 Pm 3.64
Nd 0.4118 0.5934 0.6385 x4  4 Nd 3.18-3.55, 1 Tb 3.37
Nd 0.4245 0.2500 0.7225 x2  2 Pm 3.55-3.69, 6 Nd 3.55-3.74, 2 Tb 3.67

---

Computed, not measured: a relaxed TbPm4Nd7 crystal at the PBE-GGA level of DFT.

Output
Energy of formation (eV/atom): 0.010
Total magnetization (μB per formula unit): 0.00
Crystal system: triclinic

abc: 6.3824 7.3780 9.1239
angles: 89.95 76.47 89.98
Closest atoms and distances in Å follow each position.
Space group P-1 (No. 2)
One atom of each set of equivalent atoms:
Tb 0.0000 0.0000 0.0000 x1  2 Pm 3.62, 10 Nd 3.63-3.69
Pm 0.2229 0.5001 0.3329 x2  8 Nd 3.64-3.69, 4 Pm 3.65-3.69
Pm 0.2772 0.2496 0.6691 x2  8 Nd 3.62-3.69, 1 Tb 3.62, 3 Pm 3.67-3.69
Nd 0.0000 0.5000 0.0000 x1  6 Nd 3.63-3.69, 4 Pm 3.63-3.64, 2 Tb 3.69
Nd 0.2218 0.0001 0.3325 x2  1 Tb 3.64, 6 Nd 3.64-3.69, 5 Pm 3.67-3.69
Nd 0.2776 0.7501 0.6687 x2  5 Nd 3.63-3.69, 1 Tb 3.63, 6 Pm 3.66-3.69
Nd 0.4999 0.2494 0.9997 x2  3 Pm 3.62-3.64, 7 Nd 3.63-3.70, 2 Tb 3.68